(1)
Below is an optimized crystal structure of TaSnBiO6, with properties calculated at the GGA-PBE level.

Summary:
V (Å³ per cell): 253.9
SG: P-31c (163)
E (eV/atom): -7.479
ρ (Mg/m³): 7.91

Unit cell a=5.4245 b=5.4245 c=9.9626 alpha=90.00 beta=90.00 gamma=120.00
Last column: nearest neighbours and their distance in Å.
Element x y z (fractional)
Ta: 0.3333 0.6667 0.2500  6 O 2.01
Ta: 0.6667 0.3333 0.7500  6 O 2.01
Sn: 0.3333 0.6667 0.7500  6 O 2.09
Sn: 0.6667 0.3333 0.2500  6 O 2.09
Bi: 0.0000 0.0000 0.0000  6 O 2.42
Bi: 0.0000 0.0000 0.5000  6 O 2.42
O: 0.0111 0.3703 0.1390  1 Ta 2.01, 1 Sn 2.09
O: 0.0111 0.6408 0.3610  1 Ta 2.01, 1 Sn 2.09
O: 0.3592 0.3703 0.3610  1 Ta 2.01, 1 Sn 2.09
O: 0.3592 0.9889 0.1390  1 Ta 2.01, 1 Sn 2.09
O: 0.3703 0.0111 0.6390  1 Ta 2.01, 1 Sn 2.09
O: 0.3703 0.3592 0.8610  1 Ta 2.01, 1 Sn 2.09
O: 0.6297 0.6408 0.1390  1 Ta 2.01, 1 Sn 2.09
O: 0.6297 0.9889 0.3610  1 Ta 2.01, 1 Sn 2.09
O: 0.6408 0.0111 0.8610  1 Ta 2.01, 1 Sn 2.09
O: 0.6408 0.6297 0.6390  1 Ta 2.01, 1 Sn 2.09
O: 0.9889 0.3592 0.6390  1 Ta 2.01, 1 Sn 2.09
O: 0.9889 0.6297 0.8610  1 Ta 2.01, 1 Sn 2.09

***

(2)
Below is an optimized crystal structure of Cr5Ge3Se12, with properties calculated at the GGA-PBE level.

Summary:
V (Å³ per cell): 1859.1
SG: Ia-3d (230)
E (eV/atom): -5.409
ρ (Mg/m³): 5.09

Unit cell a=13.4166 b=13.4166 c=13.4166 alpha=109.47 beta=109.47 gamma=109.47
Last column: nearest neighbours and their distance in Å.
Element x y z (fractional)
Cr: 0.0000 0.0000 0.0000  6 Se 2.54
Cr: 0.0000 0.0000 0.5000  6 Se 2.54
Cr: 0.0000 0.5000 0.0000  6 Se 2.54
Cr: 0.0000 0.5000 0.5000  6 Se 2.54
Cr: 0.1250 0.7500 0.8750  4 Se 2.32
Cr: 0.1250 0.8750 0.2500  4 Se 2.32
Cr: 0.2500 0.1250 0.8750  4 Se 2.32
Cr: 0.2500 0.6250 0.3750  4 Se 2.32
Cr: 0.3750 0.2500 0.6250  4 Se 2.32
Cr: 0.3750 0.6250 0.7500  4 Se 2.32
Cr: 0.5000 0.0000 0.0000  6 Se 2.54
Cr: 0.5000 0.0000 0.5000  6 Se 2.54
Cr: 0.5000 0.5000 0.0000  6 Se 2.54
Cr: 0.5000 0.5000 0.5000  6 Se 2.54
Cr: 0.6250 0.3750 0.2500  4 Se 2.32
Cr: 0.6250 0.7500 0.3750  4 Se 2.32
Cr: 0.7500 0.3750 0.6250  4 Se 2.32
Cr: 0.7500 0.8750 0.1250  4 Se 2.32
Cr: 0.8750 0.1250 0.7500  4 Se 2.32
Cr: 0.8750 0.2500 0.1250  4 Se 2.32
Ge: 0.1250 0.2500 0.3750  8 Se 2.92-3.08
Ge: 0.1250 0.3750 0.7500  8 Se 2.92-3.08
Ge: 0.2500 0.3750 0.1250  8 Se 2.92-3.08
Ge: 0.2500 0.8750 0.6250  8 Se 2.92-3.08
Ge: 0.3750 0.1250 0.2500  8 Se 2.92-3.08
Ge: 0.3750 0.7500 0.1250  8 Se 2.92-3.08
Ge: 0.6250 0.2500 0.8750  8 Se 2.92-3.08
Ge: 0.6250 0.8750 0.7500  8 Se 2.92-3.08
Ge: 0.7500 0.1250 0.3750  8 Se 2.92-3.08
Ge: 0.7500 0.6250 0.8750  8 Se 2.92-3.08
Ge: 0.8750 0.6250 0.2500  8 Se 2.92-3.08
Ge: 0.8750 0.7500 0.6250  8 Se 2.92-3.08
Se: 0.0289 0.2069 0.1258  2 Cr 2.32-2.54
Se: 0.0289 0.3220 0.9031  2 Cr 2.32-2.54
Se: 0.0811 0.7069 0.6780  2 Cr 2.32-2.54
Se: 0.0811 0.8742 0.4031  2 Cr 2.32-2.54
Se: 0.0969 0.6258 0.4189  2 Cr 2.32-2.54
Se: 0.0969 0.9711 0.6780  2 Cr 2.32-2.54
Se: 0.1258 0.0289 0.2069  2 Cr 2.32-2.54
Se: 0.1258 0.5969 0.9189  2 Cr 2.32-2.54
Se: 0.1780 0.2069 0.5811  2 Cr 2.32-2.54
Se: 0.1780 0.4711 0.5969  2 Cr 2.32-2.54
Se: 0.2069 0.1258 0.0289  2 Cr 2.32-2.54
Se: 0.2069 0.5811 0.1780  2 Cr 2.32-2.54
Se: 0.2931 0.3220 0.9189  2 Cr 2.32-2.54
Se: 0.2931 0.4711 0.3742  2 Cr 2.32-2.54
Se: 0.3220 0.9031 0.0289  2 Cr 2.32-2.54
Se: 0.3220 0.9189 0.2931  2 Cr 2.32-2.54
Se: 0.3742 0.2931 0.4711  2 Cr 2.32-2.54
Se: 0.3742 0.5811 0.9031  2 Cr 2.32-2.54
Se: 0.4031 0.0811 0.8742  2 Cr 2.32-2.54
Se: 0.4031 0.8220 0.5289  2 Cr 2.32-2.54
Se: 0.4189 0.0969 0.6258  2 Cr 2.32-2.54
Se: 0.4189 0.8220 0.7931  2 Cr 2.32-2.54
Se: 0.4711 0.3742 0.2931  2 Cr 2.32-2.54
Se: 0.4711 0.5969 0.1780  2 Cr 2.32-2.54
Se: 0.5289 0.4031 0.8220  2 Cr 2.32-2.54
Se: 0.5289 0.6258 0.7069  2 Cr 2.32-2.54
Se: 0.5811 0.1780 0.2069  2 Cr 2.32-2.54
Se: 0.5811 0.9031 0.3742  2 Cr 2.32-2.54
Se: 0.5969 0.1780 0.4711  2 Cr 2.32-2.54
Se: 0.5969 0.9189 0.1258  2 Cr 2.32-2.54
Se: 0.6258 0.4189 0.0969  2 Cr 2.32-2.54
Se: 0.6258 0.7069 0.5289  2 Cr 2.32-2.54
Se: 0.6780 0.0811 0.7069  2 Cr 2.32-2.54
Se: 0.6780 0.0969 0.9711  2 Cr 2.32-2.54
Se: 0.7069 0.5289 0.6258  2 Cr 2.32-2.54
Se: 0.7069 0.6780 0.0811  2 Cr 2.32-2.54
Se: 0.7931 0.4189 0.8220  2 Cr 2.32-2.54
Se: 0.7931 0.8742 0.9711  2 Cr 2.32-2.54
Se: 0.8220 0.5289 0.4031  2 Cr 2.32-2.54
Se: 0.8220 0.7931 0.4189  2 Cr 2.32-2.54
Se: 0.8742 0.4031 0.0811  2 Cr 2.32-2.54
Se: 0.8742 0.9711 0.7931  2 Cr 2.32-2.54
Se: 0.9031 0.0289 0.3220  2 Cr 2.32-2.54
Se: 0.9031 0.3742 0.5811  2 Cr 2.32-2.54
Se: 0.9189 0.1258 0.5969  2 Cr 2.32-2.54
Se: 0.9189 0.2931 0.3220  2 Cr 2.32-2.54
Se: 0.9711 0.6780 0.0969  2 Cr 2.32-2.54
Se: 0.9711 0.7931 0.8742  2 Cr 2.32-2.54

***

(3)
Below is an optimized crystal structure of Nd5Cd4Ag, with properties calculated at the GGA-PBE level.

Summary:
V (Å³ per cell): 282.2
SG: P4/mmm (123)
Energy relative to the elements (eV/f.u.): -3.05
ρ (Mg/m³): 7.52

Unit cell a=3.8383 b=3.8383 c=19.1536 alpha=90.00 beta=90.00 gamma=90.00
Last column: nearest neighbours and their distance in Å.
Element x y z (fractional)
Nd: 0.0000 0.0000 0.0000  8 Cd 3.34
Nd: 0.0000 0.0000 0.2026  8 Cd 3.32-3.33
Nd: 0.0000 0.0000 0.4042  4 Ag 3.28, 4 Cd 3.34
Nd: 0.0000 0.0000 0.5958  4 Ag 3.28, 4 Cd 3.34
Nd: 0.0000 0.0000 0.7974  8 Cd 3.32-3.33
Cd: 0.5000 0.5000 0.1017  8 Nd 3.33-3.34
Cd: 0.5000 0.5000 0.3022  8 Nd 3.32-3.34
Cd: 0.5000 0.5000 0.6978  8 Nd 3.32-3.34
Cd: 0.5000 0.5000 0.8983  8 Nd 3.33-3.34
Ag: 0.5000 0.5000 0.5000  8 Nd 3.28

***

Question: The highest ρ belongs to which entry?
Answer: TaSnBiO6

***

Question: ρ of number 1 (TaSnBiO6)?
Answer: 7.91 Mg/m³